# 1
HfTl3Ag: relaxed, PBE-GGA. Values from VASP.

Summary:
The value obtained for the energy is -3.22 eV/atom. The value obtained for the total magnetization is 0.00 μB per formula unit. Its space group is Pm-3m. The calculation puts the energy above the most stable polymorph in this dataset at 0.000 eV/atom.

```
&SYSTEM
  ibrav = 0, nat = 5, ntyp = 3
/
ATOMIC_SPECIES
Hf 178.49 Hf.upf
Tl 204.38 Tl.upf
Ag 107.87 Ag.upf
ATOMIC_POSITIONS crystal
Hf 0.000 0.000 0.000
Tl 0.000 0.000 0.500
Tl 0.000 0.500 0.000
Tl 0.500 0.000 0.000
Ag 0.500 0.500 0.500
CELL_PARAMETERS angstrom
5.630 0.000 0.000
0.000 5.630 0.000
0.000 0.000 5.630
```



# 2
HfTlAg: relaxed, PBE-GGA. Values from VASP.

Summary:
The value obtained for the energy is -4.85 eV/atom. The value obtained for the total magnetization is 0.00 μB per formula unit. Its space group is P6_3/mmc.

```
&SYSTEM
  ibrav = 0, nat = 6, ntyp = 3
/
ATOMIC_SPECIES
Hf 178.49 Hf.upf
Tl 204.38 Tl.upf
Ag 107.87 Ag.upf
ATOMIC_POSITIONS crystal
Hf 0.333 0.667 0.250
Hf 0.667 0.333 0.750
Tl 0.000 0.000 0.000
Tl 0.000 0.000 0.500
Ag 0.333 0.667 0.750
Ag 0.667 0.333 0.250
CELL_PARAMETERS angstrom
4.851 0.000 0.000
-2.425 4.201 0.000
0.000 0.000 6.217
```



# 3
HfTlAg: relaxed, PBE-GGA. Values from VASP.

Summary:
The value obtained for the energy is -4.95 eV/atom. The value obtained for the total magnetization is 0.00 μB per formula unit. Its space group is P1.

```
&SYSTEM
  ibrav = 0, nat = 6, ntyp = 3
/
ATOMIC_SPECIES
Hf 178.49 Hf.upf
Tl 204.38 Tl.upf
Ag 107.87 Ag.upf
ATOMIC_POSITIONS crystal
Hf 0.000 0.000 0.000
Hf 0.236 0.608 0.843
Tl 0.463 0.212 0.669
Tl 0.630 0.822 0.472
Ag 0.432 0.718 0.154
Ag 0.859 0.435 0.300
CELL_PARAMETERS angstrom
3.242 0.000 0.000
-1.608 2.817 0.000
-1.440 -1.011 15.187
```



# 4
Hf2TlAg2: relaxed, PBE-GGA. Values from VASP.

Summary:
The value obtained for the energy is -5.35 eV/atom. The value obtained for the total magnetization is 0.00 μB per formula unit. Its space group is P4/mbm. The calculation puts the energy above the most stable polymorph in this dataset at 0.095 eV/atom.

```
&SYSTEM
  ibrav = 0, nat = 10, ntyp = 3
/
ATOMIC_SPECIES
Hf 178.49 Hf.upf
Tl 204.38 Tl.upf
Ag 107.87 Ag.upf
ATOMIC_POSITIONS crystal
Hf 0.168 0.332 0.000
Hf 0.332 0.832 0.000
Hf 0.668 0.168 0.000
Hf 0.832 0.668 0.000
Tl 0.000 0.000 0.000
Tl 0.500 0.500 0.000
Ag 0.126 0.626 0.500
Ag 0.374 0.126 0.500
Ag 0.626 0.874 0.500
Ag 0.874 0.374 0.500
CELL_PARAMETERS angstrom
8.324 0.000 0.000
0.000 8.324 0.000
0.000 0.000 3.146
```



# 5
HfTlAg: relaxed, PBE-GGA. Values from VASP.

Summary:
The value obtained for the energy is -3.61 eV/atom. The value obtained for the total magnetization is 0.00 μB per formula unit. Its space group is P6_3/mmc.

```
&SYSTEM
  ibrav = 0, nat = 6, ntyp = 3
/
ATOMIC_SPECIES
Hf 178.49 Hf.upf
Tl 204.38 Tl.upf
Ag 107.87 Ag.upf
ATOMIC_POSITIONS crystal
Hf 0.000 0.000 0.000
Hf 0.000 0.000 0.500
Tl 0.000 0.000 0.250
Tl 0.000 0.000 0.750
Ag 0.333 0.667 0.250
Ag 0.667 0.333 0.750
CELL_PARAMETERS angstrom
4.564 0.000 0.000
-2.282 3.952 0.000
0.000 0.000 11.200
```



# 6
HfTlAg: relaxed, PBE-GGA. Values from VASP.

Summary:
The value obtained for the energy is -4.91 eV/atom. The value obtained for the total magnetization is 0.00 μB per formula unit. Its space group is P1.

```
&SYSTEM
  ibrav = 0, nat = 6, ntyp = 3
/
ATOMIC_SPECIES
Hf 178.49 Hf.upf
Tl 204.38 Tl.upf
Ag 107.87 Ag.upf
ATOMIC_POSITIONS crystal
Hf 0.000 0.000 0.000
Hf 0.293 0.415 0.078
Tl 0.334 0.336 0.673
Tl 0.651 0.695 0.333
Ag 0.620 0.763 0.751
Ag 0.942 0.113 0.410
CELL_PARAMETERS angstrom
3.247 0.000 0.000
1.624 5.589 0.000
0.020 2.105 7.173
```



# 7
HfTlAg2: relaxed, PBE-GGA. Values from VASP.

Summary:
The value obtained for the energy is -4.33 eV/atom. The value obtained for the total magnetization is 0.00 μB per formula unit. Its space group is Fm-3m. The calculation puts the energy above the most stable polymorph in this dataset at 0.045 eV/atom.

```
&SYSTEM
  ibrav = 0, nat = 16, ntyp = 3
/
ATOMIC_SPECIES
Hf 178.49 Hf.upf
Tl 204.38 Tl.upf
Ag 107.87 Ag.upf
ATOMIC_POSITIONS crystal
Hf 0.000 0.000 0.000
Hf 0.000 0.500 0.500
Hf 0.500 0.000 0.500
Hf 0.500 0.500 0.000
Tl 0.000 0.000 0.500
Tl 0.000 0.500 0.000
Tl 0.500 0.000 0.000
Tl 0.500 0.500 0.500
Ag 0.250 0.250 0.250
Ag 0.250 0.250 0.750
Ag 0.250 0.750 0.250
Ag 0.250 0.750 0.750
Ag 0.750 0.250 0.250
Ag 0.750 0.250 0.750
Ag 0.750 0.750 0.250
Ag 0.750 0.750 0.750
CELL_PARAMETERS angstrom
6.844 0.000 0.000
0.000 6.844 0.000
0.000 0.000 6.844
```



# 8
Hf3TlAg: relaxed, PBE-GGA. Values from VASP.

Summary:
The value obtained for the energy is -6.14 eV/atom. The value obtained for the total magnetization is 0.00 μB per formula unit. Its space group is Pm-3m. The calculation puts the energy above the most stable polymorph in this dataset at 0.000 eV/atom.

```
&SYSTEM
  ibrav = 0, nat = 5, ntyp = 3
/
ATOMIC_SPECIES
Hf 178.49 Hf.upf
Tl 204.38 Tl.upf
Ag 107.87 Ag.upf
ATOMIC_POSITIONS crystal
Hf 0.000 0.000 0.500
Hf 0.000 0.500 0.000
Hf 0.500 0.000 0.000
Tl 0.500 0.500 0.500
Ag 0.000 0.000 0.000
CELL_PARAMETERS angstrom
5.098 0.000 0.000
0.000 5.098 0.000
0.000 0.000 5.098
```



Number 1: DFT formation energy 0.756 eV/atom. Number 2: DFT formation energy 0.211 eV/atom. Number 3: DFT formation energy 0.103 eV/atom. Number 4: DFT formation energy 0.247 eV/atom. Number 5: DFT formation energy 1.452 eV/atom. Number 6: DFT formation energy 0.144 eV/atom. Number 7: DFT formation energy 0.172 eV/atom. Number 8: DFT formation energy 0.876 eV/atom.